No. 1
NaLiFePt2: optimized geometry, GGA-PBE.

CIF file:
```
data_NaLiFePt2
_chemical_formula_sum 'Na1 Li1 Fe1 Pt2'
_space_group_name_H-M_alt 'P 1'
_space_group_IT_number 1
_cell_length_a 4.576
_cell_length_b 4.628
_cell_length_c 4.576
_cell_angle_alpha 90.00
_cell_angle_beta 90.00
_cell_angle_gamma 90.00
loop_
_space_group_symop_operation_xyz
'x,y,z'
loop_
_atom_site_label
_atom_site_fract_x
_atom_site_fract_y
_atom_site_fract_z
Pt1 0.000 0.000 0.500
Pt2 0.500 0.000 0.000
Li1 0.000 0.500 0.000
Na1 0.500 0.500 0.500
Fe1 0.000 0.000 0.000
```

Results
SG: P4/mmm (123)
ΔE_f: 395 meV/atom
Energy: -0.1602 hartree per atom
Crystal system: tetragonal

---

No. 2
Na2LiFeS: optimized geometry, GGA-PBE.

CIF file:
```
data_Na2LiFeS
_chemical_formula_sum 'Na2 Li1 Fe1 S1'
_space_group_name_H-M_alt 'P 1'
_space_group_IT_number 1
_cell_length_a 5.372
_cell_length_b 4.107
_cell_length_c 5.372
_cell_angle_alpha 90.00
_cell_angle_beta 90.00
_cell_angle_gamma 90.00
loop_
_space_group_symop_operation_xyz
'x,y,z'
loop_
_atom_site_label
_atom_site_fract_x
_atom_site_fract_y
_atom_site_fract_z
Li1 0.500 0.500 0.500
Fe1 0.000 0.500 0.000
Na1 0.500 0.000 0.000
Na2 0.000 0.000 0.500
S1 0.000 0.000 0.000
```

Results
Formation energy without anion corrections: 0.058 eV/atom
SG: P4/mmm (123)
Energy: -0.1238 hartree per atom
Crystal system: tetragonal

---

No. 3
NaLi2ZnFe: optimized geometry, GGA-PBE.

CIF file:
```
data_NaLi2ZnFe
_chemical_formula_sum 'Na1 Li2 Zn1 Fe1'
_space_group_name_H-M_alt 'P 1'
_space_group_IT_number 1
_cell_length_a 4.755
_cell_length_b 5.216
_cell_length_c 4.755
_cell_angle_alpha 90.00
_cell_angle_beta 90.00
_cell_angle_gamma 90.00
loop_
_space_group_symop_operation_xyz
'x,y,z'
loop_
_atom_site_label
_atom_site_fract_x
_atom_site_fract_y
_atom_site_fract_z
Na1 0.000 0.500 0.000
Fe1 0.500 0.500 0.500
Zn1 0.000 0.000 0.000
Li1 0.500 0.000 0.000
Li2 0.000 0.000 0.500
```

Results
SG: P4/mmm (123)
ΔE_f: 808 meV/atom
Energy: -0.0797 hartree per atom
Crystal system: tetragonal

---

No. 4
LiNb2Fe2: optimized geometry, GGA-PBE.

CIF file:
```
data_LiNb2Fe2
_chemical_formula_sum 'Li2 Nb4 Fe4'
_space_group_name_H-M_alt 'P 1'
_space_group_IT_number 1
_cell_length_a 7.279
_cell_length_b 7.279
_cell_length_c 2.857
_cell_angle_alpha 90.00
_cell_angle_beta 90.00
_cell_angle_gamma 90.00
loop_
_space_group_symop_operation_xyz
'x,y,z'
loop_
_atom_site_label
_atom_site_fract_x
_atom_site_fract_y
_atom_site_fract_z
Fe1 0.356 0.144 0.500
Fe2 0.856 0.356 0.500
Fe3 0.144 0.644 0.500
Fe4 0.644 0.856 0.500
Nb1 0.652 0.152 0.000
Nb2 0.348 0.848 0.000
Nb3 0.848 0.652 0.000
Nb4 0.152 0.348 0.000
Li1 0.500 0.500 0.000
Li2 0.000 0.000 0.000
```

Results
SG: P4/mbm (127)
ΔE_f: 226 meV/atom
Energy: -0.2782 hartree per atom
Crystal system: tetragonal

---

No. 5
LiNb3Fe: optimized geometry, GGA-PBE.

CIF file:
```
data_LiNb3Fe
_chemical_formula_sum 'Li1 Nb3 Fe1'
_space_group_name_H-M_alt 'P 1'
_space_group_IT_number 1
_cell_length_a 4.332
_cell_length_b 4.332
_cell_length_c 4.332
_cell_angle_alpha 90.00
_cell_angle_beta 90.00
_cell_angle_gamma 90.00
loop_
_space_group_symop_operation_xyz
'x,y,z'
loop_
_atom_site_label
_atom_site_fract_x
_atom_site_fract_y
_atom_site_fract_z
Nb1 0.500 0.000 0.000
Nb2 0.000 0.000 0.500
Nb3 0.000 0.500 0.000
Fe1 0.500 0.500 0.500
Li1 0.000 0.000 0.000
```

Results
SG: Pm-3m (221)
ΔE_f: 1356 meV/atom
Energy: -0.2485 hartree per atom
Crystal system: cubic

---

No. 6
Li2NbFe: optimized geometry, GGA-PBE.

CIF file:
```
data_Li2NbFe
_chemical_formula_sum 'Li2 Nb1 Fe1'
_space_group_name_H-M_alt 'P 1'
_space_group_IT_number 1
_cell_length_a 4.167
_cell_length_b 4.167
_cell_length_c 4.167
_cell_angle_alpha 60.00
_cell_angle_beta 60.00
_cell_angle_gamma 60.00
loop_
_space_group_symop_operation_xyz
'x,y,z'
loop_
_atom_site_label
_atom_site_fract_x
_atom_site_fract_y
_atom_site_fract_z
Nb1 0.500 0.500 0.500
Li1 0.750 0.750 0.750
Li2 0.250 0.250 0.250
Fe1 0.000 0.000 0.000
```

Results
SG: Fm-3m (225)
ΔE_f: 737 meV/atom
Energy: -0.1783 hartree per atom
Crystal system: cubic

---

No. 7
LiNb3Fe: optimized geometry, GGA-PBE.

CIF file:
```
data_LiNb3Fe
_chemical_formula_sum 'Li1 Nb3 Fe1'
_space_group_name_H-M_alt 'P 1'
_space_group_IT_number 1
_cell_length_a 4.630
_cell_length_b 4.630
_cell_length_c 4.630
_cell_angle_alpha 90.00
_cell_angle_beta 90.00
_cell_angle_gamma 90.00
loop_
_space_group_symop_operation_xyz
'x,y,z'
loop_
_atom_site_label
_atom_site_fract_x
_atom_site_fract_y
_atom_site_fract_z
Li1 0.500 0.500 0.500
Nb1 0.000 0.500 0.000
Nb2 0.000 0.000 0.500
Nb3 0.500 0.000 0.000
Fe1 0.000 0.000 0.000
```

Results
SG: Pm-3m (221)
ΔE_f: 754 meV/atom
Energy: -0.2706 hartree per atom
Crystal system: cubic

---

No. 8
Li3NbFe: optimized geometry, GGA-PBE.

CIF file:
```
data_Li3NbFe
_chemical_formula_sum 'Li3 Nb1 Fe1'
_space_group_name_H-M_alt 'P 1'
_space_group_IT_number 1
_cell_length_a 4.177
_cell_length_b 4.177
_cell_length_c 4.177
_cell_angle_alpha 90.00
_cell_angle_beta 90.00
_cell_angle_gamma 90.00
loop_
_space_group_symop_operation_xyz
'x,y,z'
loop_
_atom_site_label
_atom_site_fract_x
_atom_site_fract_y
_atom_site_fract_z
Nb1 0.500 0.500 0.500
Li1 0.000 0.000 0.500
Li2 0.000 0.500 0.000
Li3 0.500 0.000 0.000
Fe1 0.000 0.000 0.000
```

Results
SG: Pm-3m (221)
ΔE_f: 1228 meV/atom
Energy: -0.1333 hartree per atom
Crystal system: cubic

---

No. 9
LiNb2Fe2: optimized geometry, GGA-PBE.

CIF file:
```
data_LiNb2Fe2
_chemical_formula_sum 'Li2 Nb4 Fe4'
_space_group_name_H-M_alt 'P 1'
_space_group_IT_number 1
_cell_length_a 7.129
_cell_length_b 7.129
_cell_length_c 2.937
_cell_angle_alpha 90.00
_cell_angle_beta 90.00
_cell_angle_gamma 90.00
loop_
_space_group_symop_operation_xyz
'x,y,z'
loop_
_atom_site_label
_atom_site_fract_x
_atom_site_fract_y
_atom_site_fract_z
Li1 0.000 0.000 0.000
Li2 0.500 0.500 0.000
Nb1 0.158 0.658 0.500
Nb2 0.842 0.342 0.500
Nb3 0.658 0.842 0.500
Nb4 0.342 0.158 0.500
Fe1 0.862 0.638 0.000
Fe2 0.362 0.862 0.000
Fe3 0.138 0.362 0.000
Fe4 0.638 0.138 0.000
```

Results
SG: P4/mbm (127)
ΔE_f: 135 meV/atom
Energy: -0.2815 hartree per atom
Crystal system: tetragonal

---

No. 10
Li2NbFe: optimized geometry, GGA-PBE.

CIF file:
```
data_Li2NbFe
_chemical_formula_sum 'Li4 Nb2 Fe2'
_space_group_name_H-M_alt 'P 1'
_space_group_IT_number 1
_cell_length_a 6.989
_cell_length_b 6.989
_cell_length_c 5.464
_cell_angle_alpha 50.24
_cell_angle_beta 50.24
_cell_angle_gamma 90.00
loop_
_space_group_symop_operation_xyz
'x,y,z'
loop_
_atom_site_label
_atom_site_fract_x
_atom_site_fract_y
_atom_site_fract_z
Li1 0.593 0.125 0.250
Li2 0.157 0.625 0.250
Li3 0.875 0.843 0.750
Li4 0.375 0.407 0.750
Nb1 0.750 0.250 0.500
Nb2 0.000 0.000 0.000
Fe1 0.500 0.500 0.000
Fe2 0.250 0.750 0.500
```

Results
SG: I-42d (122)
ΔE_f: 781 meV/atom
Energy: -0.1767 hartree per atom
Crystal system: tetragonal

---

No. 11
LiNbFe2: optimized geometry, GGA-PBE.

CIF file:
```
data_LiNbFe2
_chemical_formula_sum 'Li2 Nb2 Fe4'
_space_group_name_H-M_alt 'P 1'
_space_group_IT_number 1
_cell_length_a 6.583
_cell_length_b 6.583
_cell_length_c 5.314
_cell_angle_alpha 51.73
_cell_angle_beta 51.73
_cell_angle_gamma 90.00
loop_
_space_group_symop_operation_xyz
'x,y,z'
loop_
_atom_site_label
_atom_site_fract_x
_atom_site_fract_y
_atom_site_fract_z
Nb1 0.000 0.000 0.000
Nb2 0.750 0.250 0.500
Fe1 0.875 0.862 0.750
Fe2 0.612 0.125 0.250
Fe3 0.375 0.388 0.750
Fe4 0.138 0.625 0.250
Li1 0.500 0.500 0.000
Li2 0.250 0.750 0.500
```

Results
SG: I-42d (122)
ΔE_f: 578 meV/atom
Energy: -0.2443 hartree per atom
Crystal system: tetragonal